Record 1
VASP calculation (PBE) on a geometry-optimized Y2ScTc structure. Values from VASP.

Values from the calculation:
energy of formation	0.231	eV/atom

The structure in Quantum ESPRESSO input format:
```
&SYSTEM
  ibrav = 0, nat = 4, ntyp = 3
/
ATOMIC_SPECIES
Sc 44.96 Sc.upf
Tc 98.00 Tc.upf
Y 88.91 Y.upf
ATOMIC_POSITIONS angstrom
Sc 7.3172 1.2603 0.7420
Tc 21.9515 3.7808 2.2260
Y 0.4111 0.0708 0.0417
Y 14.2232 2.4497 1.4423
CELL_PARAMETERS angstrom
10.1431 0.0122 0.0072
9.5628 3.3818 0.0072
9.5628 1.6470 2.9536
```

***

Record 2
VASP calculation (PBE) on a geometry-optimized CaCr2Au structure. Values from VASP.

Values from the calculation:
energy of formation	0.845	eV/atom

The structure in Quantum ESPRESSO input format:
```
&SYSTEM
  ibrav = 0, nat = 4, ntyp = 3
/
ATOMIC_SPECIES
Cr 52.00 Cr.upf
Ca 40.08 Ca.upf
Au 196.97 Au.upf
ATOMIC_POSITIONS angstrom
Cr 0.0000 0.0000 0.0000
Cr -2.1499 -1.4887 0.5246
Ca 0.3122 -2.0786 2.1609
Au -2.4745 1.4890 0.8642
CELL_PARAMETERS angstrom
-4.9366 2.0789 -0.7721
0.6368 -5.0562 1.8213
-0.0124 0.8991 2.5004
```

***

Record 3
VASP calculation (PBE) on a geometry-optimized Al2InTc2 structure. Values from VASP.

Values from the calculation:
energy of formation	-0.093	eV/atom

The structure in Quantum ESPRESSO input format:
```
&SYSTEM
  ibrav = 0, nat = 10, ntyp = 3
/
ATOMIC_SPECIES
Al 26.98 Al.upf
Tc 98.00 Tc.upf
In 114.82 In.upf
ATOMIC_POSITIONS angstrom
Al -1.4857 0.8128 4.6064
Al -4.7967 -0.4721 5.9979
Al -6.2255 -0.6170 2.4641
Al -2.9145 0.6678 1.0727
Tc -2.3204 -1.3844 5.8609
Tc -5.6348 -2.3820 4.3402
Tc -4.2970 -1.5774 0.8968
Tc -0.9826 -0.5799 2.4176
In 0.0000 0.0000 0.0000
In -3.3087 -1.4809 3.3789
CELL_PARAMETERS angstrom
-6.6255 -2.2738 -0.2166
0.0082 -0.6880 6.9743
-1.0939 3.1576 0.3128
```

***

Record 4
VASP calculation (PBE) on a geometry-optimized GdLuCoPd structure. Values from VASP.

Values from the calculation:
energy of formation	-0.504	eV/atom

The structure in Quantum ESPRESSO input format:
```
&SYSTEM
  ibrav = 0, nat = 4, ntyp = 4
/
ATOMIC_SPECIES
Gd 157.25 Gd.upf
Lu 174.97 Lu.upf
Co 58.93 Co.upf
Pd 106.42 Pd.upf
ATOMIC_POSITIONS angstrom
Gd 1.6335 -8.0643 3.2844
Lu 0.5445 -2.6881 1.0948
Co 1.0890 -5.3762 2.1896
Pd 0.0000 0.0000 0.0000
CELL_PARAMETERS angstrom
-1.9253 -4.3048 1.0090
2.6384 -4.0031 -0.5200
1.4650 -2.4446 3.8903
```

***

Record 5
VASP calculation (PBE) on a geometry-optimized CaCu2Au9 structure. Values from VASP.

Values from the calculation:
energy of formation	-0.191	eV/atom

The structure in Quantum ESPRESSO input format:
```
&SYSTEM
  ibrav = 0, nat = 24, ntyp = 3
/
ATOMIC_SPECIES
Ca 40.08 Ca.upf
Cu 63.55 Cu.upf
Au 196.97 Au.upf
ATOMIC_POSITIONS angstrom
Ca -2.8447 1.7744 -1.2315
Ca -7.6416 -0.5422 1.3315
Cu -10.9602 3.5235 1.9062
Cu -11.4348 -0.1717 -2.3219
Cu -8.0879 2.3906 -1.1815
Cu -11.4624 -0.8132 1.9972
Au -10.4863 1.2323 0.1000
Au 0.0000 0.0000 0.0000
Au -10.1153 -3.1825 2.0985
Au -5.7955 2.4897 0.2928
Au -8.3739 2.7722 1.4762
Au -10.3816 -1.6907 -0.3164
Au -13.0393 -0.2330 -0.1511
Au -4.4611 0.5317 1.8542
Au -8.4324 -3.7528 -0.3255
Au -6.2233 2.2770 3.2601
Au -12.8095 1.5560 1.8960
Au -4.6908 -1.2574 -0.1928
Au -7.8572 0.7259 4.7992
Au -6.7985 -2.2017 -1.8645
Au -9.8856 -1.3935 4.1456
Au -6.0252 0.7006 -1.7542
Au -8.7478 -0.1395 -1.8554
Au -10.0077 1.2211 3.0152
CELL_PARAMETERS angstrom
-5.6894 3.5489 -2.4630
-6.6938 -5.1246 -2.2809
-5.7447 2.2658 6.1754
```

***

Record 6
VASP calculation (PBE) on a geometry-optimized AgGeTe2 structure. Values from VASP.

Values from the calculation:
electronic total energy	-12.6	eV per cell

The structure in Quantum ESPRESSO input format:
```
&SYSTEM
  ibrav = 0, nat = 4, ntyp = 3
/
ATOMIC_SPECIES
Ge 72.64 Ge.upf
Te 127.60 Te.upf
Ag 107.87 Ag.upf
ATOMIC_POSITIONS angstrom
Ge 0.0000 0.0000 0.0000
Te 13.1942 -18.4610 20.3356
Te 1.3182 -1.8444 2.0317
Ag 7.2562 -10.1527 11.1837
CELL_PARAMETERS angstrom
3.9695 -8.2369 6.6859
6.5241 -6.2473 6.8346
4.0188 -5.8213 8.8468
```

***

Record 7
VASP calculation (PBE) on a geometry-optimized KMnBe2 structure. Values from VASP.

Values from the calculation:
energy of formation	1.407	eV/atom

The structure in Quantum ESPRESSO input format:
```
&SYSTEM
  ibrav = 0, nat = 4, ntyp = 3
/
ATOMIC_SPECIES
Be 9.01 Be.upf
K 39.10 K.upf
Mn 54.94 Mn.upf
ATOMIC_POSITIONS angstrom
Be 0.0000 0.0000 0.0000
Be 1.4807 2.4168 0.0000
K 1.4807 0.0000 2.3978
Mn 0.0000 2.4168 2.3978
CELL_PARAMETERS angstrom
2.9614 0.0000 0.0000
0.0000 4.8337 0.0000
0.0000 0.0000 4.7955
```

***

Record 8
VASP calculation (PBE) on a geometry-optimized BeVCuRh structure. Values from VASP.

Values from the calculation:
energy of formation	-0.172	eV/atom

The structure in Quantum ESPRESSO input format:
```
&SYSTEM
  ibrav = 0, nat = 4, ntyp = 4
/
ATOMIC_SPECIES
Be 9.01 Be.upf
Rh 102.91 Rh.upf
Cu 63.55 Cu.upf
V 50.94 V.upf
ATOMIC_POSITIONS angstrom
Be -0.8446 -1.9599 4.5456
Rh -1.2670 -2.9398 6.8184
Cu -0.4223 -0.9799 2.2728
V 0.0000 0.0000 0.0000
CELL_PARAMETERS angstrom
-2.5332 -2.3385 2.2194
1.5050 -2.4532 2.9203
-0.6611 0.8719 3.9515
```

***

Record 9
VASP calculation (PBE) on a geometry-optimized LaCd2PPt2 structure. Values from VASP.

Values from the calculation:
energy of formation	-0.373	eV/atom

The structure in Quantum ESPRESSO input format:
```
&SYSTEM
  ibrav = 0, nat = 6, ntyp = 4
/
ATOMIC_SPECIES
La 138.91 La.upf
Cd 112.41 Cd.upf
P 30.97 P.upf
Pt 195.08 Pt.upf
ATOMIC_POSITIONS angstrom
La 2.6153 2.6153 0.0000
Cd 0.0000 2.6153 2.7090
Cd 2.6153 0.0000 2.7090
P 0.0000 0.0000 0.0000
Pt 2.6153 2.6153 3.1950
Pt 0.0000 0.0000 2.2229
CELL_PARAMETERS angstrom
5.2305 0.0000 0.0000
0.0000 5.2305 0.0000
-2.6153 -2.6153 5.4179
```

***

Record 10
VASP calculation (PBE) on a geometry-optimized MnSiAg structure. Values from VASP.

Values from the calculation:
electronic total energy	-16.8	eV per cell

The structure in Quantum ESPRESSO input format:
```
&SYSTEM
  ibrav = 0, nat = 3, ntyp = 3
/
ATOMIC_SPECIES
Ag 107.87 Ag.upf
Mn 54.94 Mn.upf
Si 28.09 Si.upf
ATOMIC_POSITIONS angstrom
Ag 0.0000 0.0000 2.3598
Mn 2.1626 1.2485 0.9444
Si 0.0000 2.4971 2.3540
CELL_PARAMETERS angstrom
4.3251 0.0000 0.0000
-2.1626 3.7456 0.0000
0.0000 0.0000 2.8291
```

***

Record 11
VASP calculation (PBE) on a geometry-optimized BeOs structure. Values from VASP.

Values from the calculation:
energy of formation	0.503	eV/atom

The structure in Quantum ESPRESSO input format:
```
&SYSTEM
  ibrav = 0, nat = 8, ntyp = 2
/
ATOMIC_SPECIES
Be 9.01 Be.upf
Os 190.23 Os.upf
ATOMIC_POSITIONS angstrom
Be -0.7014 -2.9968 1.6638
Be 1.9774 -1.5294 0.6669
Be 1.4890 -5.2818 1.1124
Be -0.1281 -3.3767 -0.9072
Os -0.6583 -5.0576 0.6005
Os 2.0210 -3.5963 -0.4011
Os 1.4454 -3.2149 2.1804
Os -0.1713 -1.3159 0.1562
CELL_PARAMETERS angstrom
-1.1118 -2.7249 3.5043
0.2823 -3.6486 -2.7476
4.2960 -0.4378 1.0226
```

***

Record 12
VASP calculation (PBE) on a geometry-optimized CaGa3Pt2 structure. Values from VASP.

Values from the calculation:
energy of formation	-0.752	eV/atom

The structure in Quantum ESPRESSO input format:
```
&SYSTEM
  ibrav = 0, nat = 18, ntyp = 3
/
ATOMIC_SPECIES
Ca 40.08 Ca.upf
Ga 69.72 Ga.upf
Pt 195.08 Pt.upf
ATOMIC_POSITIONS angstrom
Ca -0.1154 5.5325 4.2223
Ca 3.6887 0.5374 4.5910
Ca 0.0000 0.0000 0.0000
Ga -0.7329 2.8673 1.9265
Ga 4.3063 3.2026 6.8867
Ga 1.9692 2.7838 2.9129
Ga 1.6042 3.2861 5.9003
Ga 0.6448 0.1511 3.1092
Ga 2.9286 5.9188 5.7040
Ga -2.4940 2.9334 4.0346
Ga 5.0811 -0.3258 1.7247
Ga -1.5077 6.3957 7.0886
Pt 2.6716 0.6592 1.5474
Pt 0.9018 5.4106 7.2658
Pt 6.7013 0.8525 3.2636
Pt -3.1279 5.2174 5.5497
Pt 3.6728 3.8334 4.3850
Pt -0.0994 2.2365 4.4283
CELL_PARAMETERS angstrom
-1.2214 -2.4223 3.1406
8.5614 0.2031 0.7441
-3.7667 8.2892 4.9285
```

***

Record 13
VASP calculation (PBE) on a geometry-optimized ScAg2 structure. Values from VASP.

Values from the calculation:
energy of formation	-0.103	eV/atom

The structure in Quantum ESPRESSO input format:
```
&SYSTEM
  ibrav = 0, nat = 12, ntyp = 2
/
ATOMIC_SPECIES
Sc 44.96 Sc.upf
Ag 107.87 Ag.upf
ATOMIC_POSITIONS angstrom
Sc 0.0000 0.0000 2.0800
Sc 2.1176 2.1176 10.9859
Sc 0.0000 2.1176 8.6130
Sc 0.0000 2.1176 4.4529
Ag 0.0000 0.0000 6.4754
Ag 2.1176 2.1176 6.5905
Ag 0.0000 2.1176 13.0083
Ag 0.0000 2.1176 0.0575
Ag 0.0000 0.0000 10.8499
Ag 2.1176 2.1176 2.2160
Ag 2.1176 0.0000 4.3169
Ag 2.1176 0.0000 8.7490
CELL_PARAMETERS angstrom
4.2352 0.0000 0.0000
0.0000 4.2352 0.0000
-2.1176 -2.1176 13.0659
```

***

Record 14
VASP calculation (PBE) on a geometry-optimized SnSb2Pb2Au7 structure. Values from VASP.

Values from the calculation:
electronic total energy	-42.8	eV per cell

The structure in Quantum ESPRESSO input format:
```
&SYSTEM
  ibrav = 0, nat = 12, ntyp = 4
/
ATOMIC_SPECIES
Sn 118.71 Sn.upf
Sb 121.76 Sb.upf
Pb 207.20 Pb.upf
Au 196.97 Au.upf
ATOMIC_POSITIONS angstrom
Sn 0.0000 0.0000 0.0000
Sb -4.8539 -0.1080 10.6382
Sb -1.0105 -1.2958 4.6785
Pb -0.8692 -3.0396 7.7489
Pb -4.9952 1.6357 7.5678
Au 1.3133 -2.3925 1.8075
Au -2.9362 -0.0520 6.4093
Au -2.9282 -1.3519 8.9074
Au -0.3121 -3.9029 3.7890
Au 1.7232 -2.0700 4.7362
Au -7.5876 0.6662 10.5804
Au -5.5523 2.4991 11.5277
CELL_PARAMETERS angstrom
-0.7374 -4.2393 0.8530
3.3641 -0.5457 2.7619
-8.4911 3.3812 11.7017
```

***

Record 15
VASP calculation (PBE) on a geometry-optimized BeTeAs structure. Values from VASP.

Values from the calculation:
electronic total energy	-8.9	eV per cell

The structure in Quantum ESPRESSO input format:
```
&SYSTEM
  ibrav = 0, nat = 3, ntyp = 3
/
ATOMIC_SPECIES
Be 9.01 Be.upf
As 74.92 As.upf
Te 127.60 Te.upf
ATOMIC_POSITIONS angstrom
Be 4.6538 2.6869 1.8999
As 0.0000 0.0000 0.0000
Te 6.9807 4.0303 2.8499
CELL_PARAMETERS angstrom
4.6538 0.0000 0.0000
2.3269 4.0303 0.0000
2.3269 1.3434 3.7998
```

***

Record 16
VASP calculation (PBE) on a geometry-optimized CuPtAu4 structure. Values from VASP.

Values from the calculation:
energy of formation	0.365	eV/atom

The structure in Quantum ESPRESSO input format:
```
&SYSTEM
  ibrav = 0, nat = 6, ntyp = 3
/
ATOMIC_SPECIES
Cu 63.55 Cu.upf
Pt 195.08 Pt.upf
Au 196.97 Au.upf
ATOMIC_POSITIONS angstrom
Cu -0.5833 -0.7351 9.8861
Pt 0.0000 0.0000 0.0000
Au 0.9646 -1.2457 7.1683
Au -1.7286 -1.3698 7.0002
Au -0.4997 1.0228 7.2506
Au -0.2917 -0.3676 4.9439
CELL_PARAMETERS angstrom
2.5140 -1.7571 4.4511
-0.4163 2.7823 4.6157
-2.8754 -2.0054 4.1147
```

***

Record 17
VASP calculation (PBE) on a geometry-optimized TePtPb2 structure. Values from VASP.

Values from the calculation:
electronic total energy	-16.1	eV per cell

The structure in Quantum ESPRESSO input format:
```
&SYSTEM
  ibrav = 0, nat = 4, ntyp = 3
/
ATOMIC_SPECIES
Pb 207.20 Pb.upf
Pt 195.08 Pt.upf
Te 127.60 Te.upf
ATOMIC_POSITIONS angstrom
Pb 0.0000 0.0000 0.0000
Pb 1.3728 2.7303 1.5910
Pt 4.4288 2.7601 0.0000
Te 3.0559 0.0298 1.5910
CELL_PARAMETERS angstrom
6.1118 0.0596 0.0000
2.7457 5.4607 0.0000
-4.4287 -2.7601 3.1821
```

***

Record 18
VASP calculation (PBE) on a geometry-optimized BaLi3Os structure. Values from VASP.

Values from the calculation:
energy of formation	0.613	eV/atom

The structure in Quantum ESPRESSO input format:
```
&SYSTEM
  ibrav = 0, nat = 5, ntyp = 3
/
ATOMIC_SPECIES
Os 190.23 Os.upf
Ba 137.33 Ba.upf
Li 6.94 Li.upf
ATOMIC_POSITIONS angstrom
Os 0.0000 0.0000 0.0000
Ba 0.7771 -4.1390 0.5505
Li 2.1914 -1.0734 -0.2417
Li -0.3826 -1.2485 2.0755
Li -1.0316 -1.8171 -1.2832
CELL_PARAMETERS angstrom
-2.0633 -3.6342 -2.5665
4.3827 -2.1469 -0.4834
-0.7653 -2.4970 4.1510
```

***

Record 19
VASP calculation (PBE) on a geometry-optimized Pm3Te structure. Values from VASP.

Values from the calculation:
electronic total energy	-80.5	eV per cell

The structure in Quantum ESPRESSO input format:
```
&SYSTEM
  ibrav = 0, nat = 16, ntyp = 2
/
ATOMIC_SPECIES
Pm 145.00 Pm.upf
Te 127.60 Te.upf
ATOMIC_POSITIONS angstrom
Pm 6.0579 -12.4546 -0.0725
Pm 1.4162 -1.5070 1.1029
Pm -0.9341 -10.5764 0.0676
Pm 7.4771 -7.5459 5.0585
Pm 4.4636 -7.1962 2.8273
Pm 2.4942 -9.0722 0.4738
Pm 4.5225 -10.9426 3.0159
Pm 2.5366 -4.8730 -0.1605
Pm 3.6042 -14.3315 1.8634
Pm 2.9096 -3.9208 3.3907
Pm -0.3919 -7.0361 -0.6130
Pm 7.8951 -6.7954 1.5154
Te 5.4151 -4.6080 1.2776
Te 1.5318 -11.7092 2.0716
Te 5.7153 -9.1659 0.5964
Te 1.3547 -6.6008 2.2109
CELL_PARAMETERS angstrom
-0.9700 -4.3346 4.2669
-0.4841 -8.5236 -4.3237
8.4627 -3.1837 3.1351
```

***

Record 20
VASP calculation (PBE) on a geometry-optimized LuScIrPb structure. Values from VASP.

Values from the calculation:
energy of formation	-0.490	eV/atom

The structure in Quantum ESPRESSO input format:
```
&SYSTEM
  ibrav = 0, nat = 4, ntyp = 4
/
ATOMIC_SPECIES
Pb 207.20 Pb.upf
Sc 44.96 Sc.upf
Ir 192.22 Ir.upf
Lu 174.97 Lu.upf
ATOMIC_POSITIONS angstrom
Pb -4.3395 -4.2289 0.1086
Sc -2.1698 -2.1144 0.0543
Ir 0.0000 0.0000 0.0000
Lu -6.5093 -6.3433 0.1629
CELL_PARAMETERS angstrom
-4.6833 -0.9510 1.2832
-2.7586 -3.0303 -2.7735
-1.2372 -4.4765 1.7074
```